This record from the Alexandria database describes an optimized crystal structure of Hf2TaGa. The functional is GGA-PBE.

```
4
Lattice="-0.4645 -2.3074 -3.1486 4.3322 -0.8718 -0.0003 -0.6982 -3.4699 2.6458" Properties=species:S:1:pos:R:3 pbc="T T T"
Ga -0.2323 -1.1537 -1.5743
Hf -0.3491 -1.7349 1.3229
Hf 2.1661 -0.4359 -0.0001
Ta 1.5847 -3.3245 -0.2515
```

Summary:
Formation energy from the elements (eV/atom): -0.162
Calculated volume (Å³ per cell): 77